A plane-wave DFT calculation with PBE-GGA was carried out for TcNi12Pd3 after structural relaxation.

a b c (Å): 3.6385 3.6385 14.5255
angles (deg): 90.00 90.00 90.00
Each line ends with the local moment (μB).
Fractional positions:
Tc: 0.0000 0.0000 0.0000  -0.26
Ni: 0.5000 0.5000 0.0000  -0.06
Ni: 0.5000 0.5000 0.2486  -0.65
Ni: 0.5000 0.5000 0.5000  -0.76
Ni: 0.5000 0.5000 0.7514  -0.65
Ni: 0.5000 0.0000 0.1199  -0.18
Ni: 0.5000 0.0000 0.3745  -0.72
Ni: 0.5000 0.0000 0.6255  -0.72
Ni: 0.5000 0.0000 0.8801  -0.18
Ni: 0.0000 0.5000 0.1199  -0.18
Ni: 0.0000 0.5000 0.3745  -0.72
Ni: 0.0000 0.5000 0.6255  -0.72
Ni: 0.0000 0.5000 0.8801  -0.18
Pd: 0.0000 0.0000 0.2492  -0.21
Pd: 0.0000 0.0000 0.5000  -0.31
Pd: 0.0000 0.0000 0.7508  -0.21

## Properties
Theoretical density, Mg/m³: 9.69
Calculated formation energy, meV/atom: 41.8
Electronic total energy, eV per atom: -5.916